Material: CoSnNO2
Method: DFT, GGA+U
State: relaxed

Cell and atoms, written as CIF:
```
data_CoSnNO2
_chemical_formula_sum 'Co1 Sn1 N1 O2'
_cell_length_a 3.889
_cell_length_b 3.889
_cell_length_c 3.575
_cell_angle_alpha 90.00
_cell_angle_beta 90.00
_cell_angle_gamma 90.00
_symmetry_space_group_name_H-M 'P 1'
_symmetry_Int_Tables_number 1
loop_
_symmetry_equiv_pos_as_xyz
'x,y,z'
loop_
_atom_site_label
_atom_site_fract_x
_atom_site_fract_y
_atom_site_fract_z
_atom_site_occupancy
Sn1 0.500 0.500 0.500 1
Co1 0.000 0.000 0.000 1
N1 0.000 0.000 0.500 1
O1 0.500 0.000 0.000 1
O2 0.000 0.500 0.000 1
```

- SG: P4/mmm (123)
- Crystal system: tetragonal
- Final energy: -27.4 eV per formula unit
- Size of the total moment: 0.99 μB per formula unit
- Calculated density: 6.9 g cm⁻³